Entry 1:
Compound: CoBAs2Br
Source: Alexandria
Functional: PBE-GGA
Structure: optimized geometry

Calculated values
D(E_F), states/eV per cell: 3.6
ΔE_f (raw), meV/atom: 1150
ΔE to the lowest computed polymorph, eV per atom: 0.013
DFT total energy, eV/atom: -3.80
Magnetization, μB per formula unit: 0.00

Geometry as CIF:
```
data_CoBAs2Br
_cell_length_a 4.440
_cell_length_b 4.440
_cell_length_c 5.405
_cell_angle_alpha 90.00
_cell_angle_beta 90.00
_cell_angle_gamma 90.00
_space_group_name_H-M_alt 'P 4/m m m'
_space_group_IT_number 123
_space_group_name_Hall '-P 4 2'
loop_
_atom_site_label
_atom_site_fract_x
_atom_site_fract_y
_atom_site_fract_z
Co1 0.000 0.000 0.000
B1 0.500 0.500 0.500
As1 0.000 0.500 0.000
Br1 0.000 0.000 0.500
```



Entry 2:
Compound: LaBe
Source: Alexandria
Functional: PBE-GGA
Structure: optimized geometry

Calculated values
D(E_F), states/eV per cell: 3.2
ΔH_f (0 K), eV/f.u.: 0.41
ΔE to the lowest computed polymorph, eV per atom: 0.167
DFT total energy, eV/atom: -4.12
Magnetization, μB per formula unit: 0.00

Geometry as CIF:
```
data_LaBe
_cell_length_a 4.639
_cell_length_b 3.591
_cell_length_c 5.345
_cell_angle_alpha 90.00
_cell_angle_beta 90.00
_cell_angle_gamma 90.00
_space_group_name_H-M_alt 'P m m a'
_space_group_IT_number 51
_space_group_name_Hall '-P 2a 2a'
loop_
_atom_site_label
_atom_site_fract_x
_atom_site_fract_y
_atom_site_fract_z
La1 0.250 0.000 0.199
Be1 0.250 0.500 0.641
```



Entry 3:
Compound: TcSe2I
Source: Alexandria
Functional: PBE-GGA
Structure: optimized geometry

Calculated values
D(E_F), states/eV per cell: 10.9
ΔE_f (raw), meV/atom: 384
ΔE to the lowest computed polymorph, eV per atom: 0.593
DFT total energy, eV/atom: -4.34
Magnetization, μB per formula unit: 0.95

Geometry as CIF:
```
data_TcSe2I
_cell_length_a 4.0800
_cell_length_b 4.0800
_cell_length_c 22.3727
_cell_angle_alpha 90.00
_cell_angle_beta 90.00
_cell_angle_gamma 120.00
_space_group_name_H-M_alt 'R 3 m'
_space_group_IT_number 160
_space_group_name_Hall 'R 3 -2"'
loop_
_atom_site_label
_atom_site_fract_x
_atom_site_fract_y
_atom_site_fract_z
Tc1 0.0000 0.0000 0.0000
Se1 0.0000 0.0000 0.2885
Se2 0.0000 0.0000 0.8901
I1 0.0000 0.0000 0.4212
```